A plane-wave DFT calculation with GGA+U was carried out for a geometry-optimized MnP2NO structure.

Unit cell a=4.408 b=4.408 c=3.380 alpha=90.00 beta=90.00 gamma=90.00
Element x y z (fractional)
P  0.000  0.500  0.000
P  0.500  0.000  0.000
Mn  0.000  0.000  0.000
O  0.000  0.000  0.500
N  0.500  0.500  0.500

Summary:
Uncorrected energy   -4.94 eV/atom
Energy above the lowest structure with this stoichiometry   2.82 eV per formula unit
M_tot   0.00 μB per cell